Compound: Mg2In3Pb
Source: Alexandria via LeMat-Bulk
Functional: GGA-PBE
Structure: relaxed

Properties
E ... -2.5613 eV/atom
ρ ... 6.474 g cm⁻³
Formation enthalpy at 0 K ... -0.25 eV/f.u.

abc: 3.3331 3.3331 13.8586
angles: 90.00 90.00 90.00
Sites, in units of the cell vectors:
Mg1 0.0000 0.0000 0.1557
Mg2 0.0000 0.0000 0.8443
In1 0.5000 0.5000 0.0000
In2 0.5000 0.5000 0.3138
In3 0.5000 0.5000 0.6862
Pb1 0.0000 0.0000 0.5000



Compound: Mg6InPb12
Source: Alexandria via LeMat-Bulk
Functional: GGA-PBE
Structure: relaxed

Properties
E ... -2.9850 eV/atom
ρ ... 8.411 g cm⁻³
Formation enthalpy at 0 K ... 0.09 eV/f.u.

abc: 9.1712 9.1712 9.1712
angles: 111.59 111.59 111.59
Sites, in units of the cell vectors:
Mg1 0.0386 0.2835 0.1860
Mg2 0.1860 0.0386 0.2835
Mg3 0.2835 0.1860 0.0386
Mg4 0.7165 0.8140 0.9614
Mg5 0.8140 0.9614 0.7165
Mg6 0.9614 0.7165 0.8140
In1 0.5000 0.5000 0.5000
Pb1 0.0850 0.8859 0.5828
Pb2 0.1141 0.4172 0.9150
Pb3 0.2398 0.5980 0.6562
Pb4 0.3438 0.7602 0.4020
Pb5 0.4020 0.3438 0.7602
Pb6 0.4172 0.9150 0.1141
Pb7 0.5829 0.0850 0.8859
Pb8 0.5980 0.6562 0.2398
Pb9 0.6562 0.2398 0.5980
Pb10 0.7602 0.4020 0.3438
Pb11 0.8859 0.5828 0.0850
Pb12 0.9150 0.1141 0.4172



Compound: Mg10InPb6
Source: Alexandria via LeMat-Bulk
Functional: GGA-PBE
Structure: relaxed

Properties
E ... -2.4363 eV/atom
ρ ... 6.088 g cm⁻³
Formation enthalpy at 0 K ... -0.48 eV/f.u.

abc: 8.9783 8.9783 6.2552
angles: 90.00 90.00 120.00
Sites, in units of the cell vectors:
Mg1 0.0000 0.2684 0.2889
Mg2 0.0000 0.7316 0.7111
Mg3 0.2684 0.0000 0.2889
Mg4 0.2684 0.2684 0.7111
Mg5 0.3333 0.6667 0.0000
Mg6 0.3333 0.6667 0.5000
Mg7 0.6667 0.3333 0.0000
Mg8 0.6667 0.3333 0.5000
Mg9 0.7316 0.0000 0.7111
Mg10 0.7316 0.7316 0.2889
In1 0.0000 0.0000 0.0000
Pb1 0.0000 0.3879 0.7601
Pb2 0.0000 0.6121 0.2399
Pb3 0.3879 0.0000 0.7601
Pb4 0.3879 0.3879 0.2399
Pb5 0.6121 0.0000 0.2399
Pb6 0.6121 0.6121 0.7601



Compound: Mg4InPb
Source: Alexandria via LeMat-Bulk
Functional: GGA-PBE
Structure: relaxed

Properties
E ... -2.1932 eV/atom
ρ ... 4.803 g cm⁻³
Energy relative to the lowest polymorph listed for this composition ... 0.000 eV/f.u.
Formation enthalpy at 0 K ... -0.33 eV/f.u.

abc: 5.5451 5.5451 6.7561
angles: 107.20 107.20 47.50
Sites, in units of the cell vectors:
Mg1 0.1648 0.1648 0.3262
Mg2 0.1678 0.1678 0.8414
Mg3 0.8322 0.8322 0.1586
Mg4 0.8352 0.8352 0.6738
In1 0.5000 0.5000 0.0000
Pb1 0.5000 0.5000 0.5000



Compound: MgIn6Pb12
Source: Alexandria via LeMat-Bulk
Functional: GGA-PBE
Structure: relaxed

Properties
E ... -3.2517 eV/atom
ρ ... 9.262 g cm⁻³
Energy relative to the lowest polymorph listed for this composition ... 0.551 eV/f.u.
Formation enthalpy at 0 K ... 0.74 eV/f.u.

abc: 8.3115 8.3115 8.3115
angles: 88.58 88.58 88.58
Sites, in units of the cell vectors:
Mg1 0.0000 0.0000 0.0000
In1 0.1114 0.2627 0.7356
In2 0.2627 0.7356 0.1114
In3 0.2644 0.8886 0.7373
In4 0.7356 0.1114 0.2627
In5 0.7373 0.2644 0.8886
In6 0.8886 0.7373 0.2644
Pb1 0.0215 0.3675 0.1569
Pb2 0.1569 0.0215 0.3675
Pb3 0.1995 0.5561 0.4727
Pb4 0.3675 0.1569 0.0215
Pb5 0.4439 0.5273 0.8005
Pb6 0.4727 0.1995 0.5561
Pb7 0.5273 0.8005 0.4439
Pb8 0.5561 0.4727 0.1995
Pb9 0.6325 0.8431 0.9785
Pb10 0.8005 0.4439 0.5273
Pb11 0.8431 0.9785 0.6325
Pb12 0.9785 0.6325 0.8431



Compound: MgIn2Pb
Source: Alexandria via LeMat-Bulk
Functional: GGA-PBE
Structure: relaxed

Properties
E ... -2.7194 eV/atom
ρ ... 7.147 g cm⁻³
Formation enthalpy at 0 K ... -0.10 eV/f.u.

abc: 4.8804 4.8804 8.9961
angles: 90.00 90.00 90.00
Sites, in units of the cell vectors:
Mg1 0.2500 0.7500 0.0000
Mg2 0.7500 0.2500 0.0000
In1 0.2500 0.2500 0.2324
In2 0.2500 0.7500 0.5000
In3 0.7500 0.2500 0.5000
In4 0.7500 0.7500 0.7676
Pb1 0.2500 0.2500 0.7695
Pb2 0.7500 0.7500 0.2305



Compound: Mg3In2Pb3
Source: Alexandria via LeMat-Bulk
Functional: GGA-PBE
Structure: relaxed

Properties
E ... -2.6802 eV/atom
ρ ... 7.140 g cm⁻³
Energy relative to the lowest polymorph listed for this composition ... 0.193 eV/f.u.
Formation enthalpy at 0 K ... -0.06 eV/f.u.

abc: 5.9901 5.9901 5.9901
angles: 89.91 89.91 89.91
Sites, in units of the cell vectors:
Mg1 0.0000 0.7413 0.2587
Mg2 0.2587 0.0000 0.7413
Mg3 0.7413 0.2587 0.0000
In1 0.2325 0.2325 0.2325
In2 0.7675 0.7675 0.7675
Pb1 0.2482 0.5000 0.7518
Pb2 0.5000 0.7518 0.2482
Pb3 0.7518 0.2482 0.5000



Compound: MgInPb
Source: Alexandria via LeMat-Bulk
Functional: GGA-PBE
Structure: relaxed

Properties
E ... -2.7044 eV/atom
ρ ... 7.188 g cm⁻³
Formation enthalpy at 0 K ... -0.07 eV/f.u.

abc: 7.1827 7.1827 7.1827
angles: 152.28 152.28 39.60
Sites, in units of the cell vectors:
Mg1 0.0000 0.0000 0.0000
In1 0.3493 0.3493 0.0000
Pb1 0.6641 0.6641 0.0000